[1]
VASP calculation (PBE) on an optimized crystal structure of CaSm2Pd3.

Structure (extended XYZ):
```
6
Lattice="-1.233 -2.673 1.974 3.206 -0.404 1.456 -2.680 7.038 7.854" Properties=species:S:1:pos:R:3 pbc="T T T"
Pd -0.863 2.265 2.528
Ca -0.353 1.980 5.642
Sm 0.534 -0.349 3.043
Pd -1.818 4.772 5.326
Sm -1.241 4.310 8.242
Pd 0.000 0.000 0.000
```

Properties
ΔE_f = -0.7773 eV/atom
Symmetry = No. 123


[2]
VASP calculation (PBE) on an optimized crystal structure of ThSbI.

Structure (extended XYZ):
```
6
Lattice="-1.971 1.004 3.990 -2.417 -5.728 0.248 9.515 -3.882 3.070" Properties=species:S:1:pos:R:3 pbc="T T T"
Th 5.342 -8.151 4.691
I 0.839 -2.914 3.756
I 2.523 -6.922 5.597
Th -0.008 -2.688 0.672
Sb 6.753 -5.367 4.687
Sb -1.419 -5.472 0.676
```

Properties
Symmetry = No. 63
Energy above the most stable polymorph in this dataset = 0 meV per atom
Formation energy without anion corrections = -0.8669 eV per atom


[3]
VASP calculation (PBE) on an optimized crystal structure of BeIn2Ni.

Structure (extended XYZ):
```
4
Lattice="-6.974 -2.463 -3.940 -7.686 -3.186 -1.003 -8.124 -0.289 -2.040" Properties=species:S:1:pos:R:3 pbc="T T T"
In -22.744 -5.929 -6.971
Ni -5.696 -1.485 -1.746
Be -17.088 -4.454 -5.237
In -11.432 -2.980 -3.504
```

Properties
ΔE_f = 0.3533 eV/atom
Symmetry = No. 166
Energy above the most stable polymorph in this dataset = 288 meV per atom


[4]
VASP calculation (PBE) on an optimized crystal structure of CdRe2As.

Structure (extended XYZ):
```
4
Lattice="4.013 0.000 0.000 0.000 2.977 0.007 0.000 1.644 5.550" Properties=species:S:1:pos:R:3 pbc="T T T"
Re 0.000 1.937 2.598
As 2.007 1.155 1.389
Re 0.000 0.373 0.180
Cd 2.007 3.466 4.167
```

Properties
ΔE_f = 0.6606 eV/atom
Symmetry = No. 10
Energy above the most stable polymorph in this dataset = 463 meV per atom


[5]
VASP calculation (PBE) on an optimized crystal structure of PmAgAs2O8.

Structure (extended XYZ):
```
12
Lattice="6.090 0.064 0.000 -2.644 5.487 0.000 -1.723 -2.775 5.140" Properties=species:S:1:pos:R:3 pbc="T T T"
O 0.352 2.329 0.930
Pm -1.322 2.743 2.570
Ag 0.000 0.000 0.000
As 3.045 0.032 2.570
O -0.209 1.427 4.210
O 3.207 -1.432 3.479
O 2.884 1.495 3.479
O 4.428 0.536 1.661
O 1.662 -0.472 1.661
O 0.209 -1.427 4.210
As 1.723 2.775 0.000
O 3.095 3.221 0.930
```

Properties
Symmetry = No. 119
Formation energy without anion corrections = -1.3483 eV per atom


[6]
VASP calculation (PBE) on an optimized crystal structure of Cr2SiHg.

Structure (extended XYZ):
```
4
Lattice="4.910 0.016 0.000 1.752 4.587 0.000 -3.331 -2.302 2.778" Properties=species:S:1:pos:R:3 pbc="T T T"
Cr 0.000 0.000 0.000
Hg 3.331 2.302 0.000
Si 2.455 0.008 1.389
Cr 0.876 2.294 1.389
```

Properties
Symmetry = No. 119
Formation energy without anion corrections = 0.4188 eV per atom


[7]
VASP calculation (PBE) on an optimized crystal structure of SmZnRh.

Structure (extended XYZ):
```
3
Lattice="3.756 0.000 0.000 0.000 4.365 0.000 0.000 -2.183 3.781" Properties=species:S:1:pos:R:3 pbc="T T T"
Sm 2.504 0.000 2.520
Rh 0.626 0.000 0.000
Zn 0.626 2.183 1.260
```

Properties
ΔE_f = -0.5829 eV/atom
Symmetry = No. 187


[8]
VASP calculation (PBE) on an optimized crystal structure of DyPu2GaTe5.

Structure (extended XYZ):
```
18
Lattice="4.313 0.000 0.000 -2.157 9.572 0.000 0.000 0.000 13.147" Properties=species:S:1:pos:R:3 pbc="T T T"
Pu 0.000 2.230 8.932
Te 2.157 4.048 2.281
Pu 0.000 2.435 4.073
Dy 2.157 5.649 6.720
Pu 2.157 7.342 2.358
Te 2.157 3.661 11.070
Ga 0.000 8.302 5.985
Te 2.157 0.008 10.229
Te 2.157 2.619 6.552
Pu 2.157 7.137 10.647
Te 0.000 6.954 13.126
Te 0.000 5.524 8.855
Ga 2.157 1.271 12.559
Te 2.157 8.699 7.582
Dy 0.000 3.923 0.146
Te 0.000 9.564 3.655
Te 0.000 5.911 4.496
Te 0.000 0.873 1.009
```

Properties
Symmetry = No. 36
Formation energy without anion corrections = -0.9211 eV per atom


no.,raw total energy (eV per atom)
1,-5.280
2,-5.231
3,-3.393
4,-6.955
5,-6.062
6,-5.824
7,-5.031
8,-6.699